1.
Entry from the Alexandria database: a geometry-optimized Na2CaGaAs2 structure (GGA-PBE).

Cell and atoms, written as POSCAR:
```
Na2CaGaAs2
1.0
4.8611 0.0000 0.0000
0.0000 8.1696 0.0000
0.0000 0.0000 7.1898
Na Ca Ga As
4 2 2 4
Direct
0.0000 0.0856 0.0000
0.0000 0.9144 0.5000
0.5000 0.1462 0.3233
0.5000 0.8538 0.8233
0.5000 0.4661 0.9995
0.5000 0.5339 0.4995
0.0000 0.3075 0.6494
0.0000 0.6925 0.1494
0.0000 0.3725 0.2738
0.0000 0.6275 0.7738
0.5000 0.1998 0.7224
0.5000 0.8002 0.2224
```

Properties
- electronic total energy (eV/atom) = -3.4257
- symmetry = Pmc2_1

2.
Entry from the Alexandria database: a geometry-optimized Ca2GaAsO6 structure (GGA-PBE).

Cell and atoms, written as POSCAR:
```
Ca2GaAsO6
1.0
5.0963 0.0000 0.0000
0.0000 5.0963 0.0000
0.0000 0.0000 4.8122
Ca Ga As O
2 1 1 6
Direct
0.0000 0.5000 0.0000
0.5000 0.0000 0.0000
0.0000 0.0000 0.5326
0.5000 0.5000 0.5622
0.0000 0.0000 0.1536
0.2588 0.2588 0.6771
0.2588 0.7412 0.6771
0.5000 0.5000 0.2002
0.7412 0.2588 0.6771
0.7412 0.7412 0.6771
```

Properties
- formation energy (no corrections) (eV per atom) = -2.103
- electronic total energy (eV/atom) = -6.2461
- symmetry = P4mm

3.
Entry from the Alexandria database: a geometry-optimized CaGaAs2O6 structure (GGA-PBE).

Cell and atoms, written as POSCAR:
```
CaGaAs2O6
1.0
4.3447 -4.8319 0.0000
4.3447 4.8319 0.0000
-1.5984 0.0000 6.1505
Ca Ga As O
2 2 4 12
Direct
0.0963 0.9037 0.7500
0.9037 0.0963 0.2500
0.2801 0.7199 0.2500
0.7199 0.2801 0.7500
0.2443 0.4315 0.7397
0.4315 0.2443 0.2397
0.5685 0.7557 0.7603
0.7557 0.5685 0.2603
0.0096 0.2388 0.6554
0.1634 0.6135 0.9437
0.2388 0.0096 0.1554
0.2620 0.4194 0.3382
0.3865 0.8366 0.5563
0.4194 0.2620 0.8382
0.5806 0.7380 0.1618
0.6135 0.1634 0.4437
0.7380 0.5806 0.6618
0.7612 0.9904 0.8446
0.8366 0.3865 0.0563
0.9904 0.7612 0.3446
```

Properties
- formation energy (no corrections) (eV per atom) = -1.624
- electronic total energy (eV/atom) = -6.0319
- symmetry = C2/c

4.
Entry from the Alexandria database: a geometry-optimized Ca2GaAsP structure (GGA-PBE).

Cell and atoms, written as POSCAR:
```
Ca2GaAsP
1.0
7.8318 0.0000 0.0000
0.0000 3.7824 0.0000
-3.8919 0.0000 8.1529
Ca Ga As P
4 2 2 2
Direct
0.1509 0.2500 0.4333
0.2086 0.2500 0.9589
0.7914 0.7500 0.0411
0.8491 0.7500 0.5667
0.4586 0.2500 0.3475
0.5414 0.7500 0.6525
0.2680 0.7500 0.7248
0.7320 0.2500 0.2752
0.2166 0.7500 0.2059
0.7834 0.2500 0.7941
```

Properties
- electronic total energy (eV/atom) = -4.1978
- symmetry = P2_1/m

5.
Entry from the Alexandria database: a geometry-optimized CaGaAsP2 structure (GGA-PBE).

Cell and atoms, written as POSCAR:
```
CaGaAsP2
1.0
4.9653 0.0000 0.0000
0.0000 4.9653 0.0000
0.0000 0.0000 4.7841
Ca Ga As P
1 1 1 2
Direct
0.0000 0.0000 0.0000
0.5000 0.5000 0.0000
0.5000 0.5000 0.5000
0.0000 0.5000 0.5000
0.5000 0.0000 0.5000
```

Properties
- electronic total energy (eV/atom) = -3.9280
- symmetry = P4/mmm

6.
Entry from the Alexandria database: a geometry-optimized Ca3Ga2AsPd9 structure (GGA-PBE).

Cell and atoms, written as POSCAR:
```
Ca3Ga2AsPd9
1.0
6.6264 0.0000 0.0000
-3.3132 5.7386 0.0000
0.0000 0.0000 8.4019
Ca Ga As Pd
3 2 1 9
Direct
0.0000 0.0000 0.0000
0.3333 0.6667 0.7000
0.6667 0.3333 0.3000
0.3333 0.6667 0.1848
0.6667 0.3333 0.8152
0.0000 0.0000 0.5000
0.0000 0.5000 0.0000
0.1406 0.2812 0.2828
0.1406 0.8594 0.2828
0.2812 0.1406 0.7172
0.5000 0.0000 0.0000
0.5000 0.5000 0.0000
0.7188 0.8594 0.2828
0.8594 0.1406 0.7172
0.8594 0.7188 0.7172
```

Properties
- electronic total energy (eV/atom) = -4.7115
- symmetry = P-3m1

7.
Entry from the Alexandria database: a geometry-optimized Ca2Ga3AsPt4 structure (GGA-PBE).

Cell and atoms, written as POSCAR:
```
Ca2Ga3AsPt4
1.0
4.2303 0.0000 0.0000
0.0000 4.2303 0.0000
0.0000 0.0000 10.7333
Ca Ga As Pt
2 3 1 4
Direct
0.0000 0.5000 0.2453
0.5000 0.0000 0.7547
0.0000 0.0000 0.0000
0.0000 0.5000 0.6341
0.5000 0.0000 0.3659
0.5000 0.5000 0.0000
0.0000 0.0000 0.5000
0.0000 0.5000 0.8647
0.5000 0.0000 0.1353
0.5000 0.5000 0.5000
```

Properties
- electronic total energy (eV/atom) = -5.0255
- symmetry = P-4m2

8.
Entry from the Alexandria database: a geometry-optimized RbCaGaAs2 structure (GGA-PBE).

Cell and atoms, written as POSCAR:
```
RbCaGaAs2
1.0
5.2906 0.0000 0.0000
0.0000 5.2906 0.0000
0.0000 0.0000 5.3941
Rb Ca Ga As
1 1 1 2
Direct
0.0000 0.0000 0.0000
0.5000 0.5000 0.0000
0.5000 0.5000 0.5000
0.0000 0.5000 0.5000
0.5000 0.0000 0.5000
```

Properties
- energy relative to the lowest polymorph listed for this composition (meV/atom) = 561
- electronic total energy (eV/atom) = -3.0381
- symmetry = P4/mmm

9.
Entry from the Alexandria database: a geometry-optimized RbCa2GaAs structure (GGA-PBE).

Cell and atoms, written as POSCAR:
```
RbCa2GaAs
1.0
6.0664 0.0000 0.0000
0.0000 6.0664 0.0000
0.0000 0.0000 5.4320
Rb Ca Ga As
1 2 1 1
Direct
0.0000 0.0000 0.0000
0.0000 0.5000 0.0000
0.5000 0.0000 0.0000
0.0000 0.0000 0.5000
0.5000 0.5000 0.5000
```

Properties
- electronic total energy (eV/atom) = -1.4565
- symmetry = P4/mmm

10.
Entry from the Alexandria database: a geometry-optimized RbCaGaAs2 structure (GGA-PBE).

Cell and atoms, written as POSCAR:
```
RbCaGaAs2
1.0
3.7528 -7.5737 0.0000
3.7528 7.5737 0.0000
0.0000 0.0000 6.1754
Rb Ca Ga As
2 2 2 4
Direct
0.2500 0.7500 0.7744
0.7500 0.2500 0.2256
0.2500 0.2500 0.5000
0.7500 0.7500 0.5000
0.0000 0.0000 0.0000
0.5000 0.5000 0.0000
0.1129 0.8871 0.2501
0.3871 0.6129 0.2501
0.6129 0.3871 0.7499
0.8871 0.1129 0.7499
```

Properties
- energy relative to the lowest polymorph listed for this composition (meV/atom) = 0
- electronic total energy (eV/atom) = -3.5987
- symmetry = Cmme

11.
Entry from the Alexandria database: a geometry-optimized Ca3GaAs2Rh9 structure (GGA-PBE).

Cell and atoms, written as POSCAR:
```
Ca3GaAs2Rh9
1.0
6.2976 0.0000 0.0000
-3.1488 5.4539 0.0000
0.0000 0.0000 8.8368
Ca Ga As Rh
3 1 2 9
Direct
0.0000 0.0000 0.0000
0.3333 0.6667 0.6824
0.6667 0.3333 0.3176
0.0000 0.0000 0.5000
0.3333 0.6667 0.1770
0.6667 0.3333 0.8230
0.0000 0.5000 0.0000
0.1398 0.2796 0.2763
0.1398 0.8602 0.2763
0.2796 0.1398 0.7237
0.5000 0.0000 0.0000
0.5000 0.5000 0.0000
0.7204 0.8602 0.2763
0.8602 0.1398 0.7237
0.8602 0.7204 0.7237
```

Properties
- electronic total energy (eV/atom) = -5.8459
- symmetry = P-3m1

12.
Entry from the Alexandria database: a geometry-optimized CaGaAsRh2 structure (GGA-PBE).

Cell and atoms, written as POSCAR:
```
CaGaAsRh2
1.0
4.8105 0.0000 0.0000
0.0000 4.8105 0.0000
0.0000 0.0000 5.0967
Ca Ga As Rh
1 1 1 2
Direct
0.0000 0.0000 0.0000
0.0000 0.0000 0.5000
0.5000 0.5000 0.5000
0.0000 0.5000 0.0000
0.5000 0.0000 0.0000
```

Properties
- electronic total energy (eV/atom) = -3.5846
- symmetry = P4/mmm

- Which of these has the highest electronic total energy?
  RbCa2GaAs